1.
Density functional theory data (PBE-GGA) for an optimized crystal structure of KSiMo2.

Calculated values
Uncorrected energy (eV/atom): -6.61
Energy relative to the elements, uncorrected (eV/atom): 0.436
Calculated density (g/cm³): 5.0
Total magnetic moment (μB per atom): 0.00
Space-group type: No. 99

abc: 3.2318 3.2318 8.2074
angles: 90.00 90.00 90.00
Fractional coordinates of all 4 atoms:
1 Mo 0.0000 0.0000 0.0966
2 Mo 0.5000 0.5000 0.2587
3 Si 0.0000 0.0000 0.4185
4 K 0.5000 0.5000 0.7262

2.
Density functional theory data (PBE-GGA) for an optimized crystal structure of CdIn2CI.

Calculated values
Uncorrected energy (eV/atom): -1.72
Energy relative to the elements, uncorrected (eV/atom): 1.714
Calculated density (g/cm³): 2.7
Total magnetic moment (μB per atom): 0.52
Space-group type: No. 123

abc: 6.5501 6.9510 6.5501
angles: 90.00 90.00 90.00
Fractional coordinates of all 5 atoms:
1 C 0.5000 0.5000 0.5000
2 In 0.5000 0.0000 0.0000
3 In 0.0000 0.0000 0.5000
4 Cd 0.0000 0.5000 0.0000
5 I 0.0000 0.0000 0.0000

3.
Density functional theory data (PBE-GGA) for an optimized crystal structure of HfThSb2.

Calculated values
Uncorrected energy (eV/atom): -6.91
Energy relative to the elements, uncorrected (eV/atom): -0.507
Calculated density (g/cm³): 10.7
Total magnetic moment (μB per atom): 0.00
Energy above the most stable polymorph in this dataset (eV/atom): 0.080
Space-group type: No. 123

abc: 3.6744 3.6744 7.5359
angles: 90.00 90.00 90.00
Fractional coordinates of all 4 atoms:
1 Sb 0.0000 0.0000 0.7778
2 Sb 0.0000 0.0000 0.2222
3 Th 0.5000 0.5000 0.5000
4 Hf 0.5000 0.5000 0.0000